(1)
The following is a meta-GGA SCAN calculation of a PBEsol-optimized structure of Ir2Au, from Alexandria.

- DOS(E_F) (states/eV/atom) = 1.277
- M_tot (μB/f.u.) = 0.0
- SG = Immm (71)
- offset from the most stable computed form (eV/atom) = 0.083
- ΔH_f (0 K) (eV per atom) = 0.41

a = 2.778 Å, b = 3.853 Å, c = 4.820 Å
α = 113.56°, β = 106.75°, γ = 90.00°
Atoms (fractional coordinates):
Au1 0.000 0.000 0.000
Ir1 0.326 0.326 0.653
Ir2 0.674 0.674 0.347

---

(2)
The following is a meta-GGA SCAN calculation of a PBEsol-optimized structure of RbCd2As2, from Alexandria.

- DOS(E_F) (states/eV/atom) = 0.486
- M_tot (μB/f.u.) = 0.0
- SG = I4/mmm (139)
- ΔH_f (0 K) (eV per atom) = -0.32

a = 4.521 Å, b = 4.521 Å, c = 6.982 Å
α = 108.89°, β = 108.89°, γ = 90.00°
Atoms (fractional coordinates):
As1 0.379 0.379 0.758
As2 0.621 0.621 0.242
Rb1 0.000 0.000 0.000
Cd1 0.750 0.250 0.500
Cd2 0.250 0.750 0.500

---

(3)
The following is a meta-GGA SCAN calculation of a PBEsol-optimized structure of AsRhPb2, from Alexandria.

- DOS(E_F) (states/eV/atom) = 0.573
- M_tot (μB/f.u.) = 0.0
- SG = P4/mmm (123)
- ΔH_f (0 K) (eV per atom) = 0.23

a = 3.272 Å, b = 3.272 Å, c = 7.864 Å
α = 90.00°, β = 90.00°, γ = 90.00°
Atoms (fractional coordinates):
Pb1 0.000 0.000 0.779
Pb2 0.000 0.000 0.221
Rh1 0.500 0.500 0.000
As1 0.500 0.500 0.500

---

(4)
The following is a meta-GGA SCAN calculation of a PBEsol-optimized structure of SbRu3Br, from Alexandria.

- DOS(E_F) (states/eV/atom) = 0.777
- M_tot (μB/f.u.) = 3.4
- raw total energy (Ry per atom) = -2.25897
- SG = Pm-3m (221)

a = 4.538 Å, b = 4.538 Å, c = 4.538 Å
α = 90.00°, β = 90.00°, γ = 90.00°
Atoms (fractional coordinates):
Ru1 0.000 0.500 0.000
Ru2 0.500 0.000 0.000
Ru3 0.000 0.000 0.500
Sb1 0.500 0.500 0.500
Br1 0.000 0.000 0.000

---

(5)
The following is a meta-GGA SCAN calculation of a PBEsol-optimized structure of KZrCo3, from Alexandria.

- DOS(E_F) (states/eV/atom) = 1.003
- M_tot (μB/f.u.) = 3.1
- SG = Pm-3m (221)
- ΔH_f (0 K) (eV per atom) = 1.37

a = 4.673 Å, b = 4.673 Å, c = 4.673 Å
α = 90.00°, β = 90.00°, γ = 90.00°
Atoms (fractional coordinates):
Co1 0.000 0.500 0.000
Co2 0.000 0.000 0.500
Co3 0.500 0.000 0.000
K1 0.500 0.500 0.500
Zr1 0.000 0.000 0.000

---

(6)
The following is a meta-GGA SCAN calculation of a PBEsol-optimized structure of ZnNiAg, from Alexandria.

- DOS(E_F) (states/eV/atom) = 0.554
- M_tot (μB/f.u.) = 0.0
- SG = F-43m (216)
- ΔH_f (0 K) (eV per atom) = 0.50

a = 4.102 Å, b = 4.102 Å, c = 4.102 Å
α = 60.00°, β = 60.00°, γ = 60.00°
Atoms (fractional coordinates):
Ni1 0.000 0.000 0.000
Zn1 0.500 0.500 0.500
Ag1 0.250 0.250 0.250

---

(7)
The following is a meta-GGA SCAN calculation of a PBEsol-optimized structure of MnBTeI2, from Alexandria.

- DOS(E_F) (states/eV/atom) = 0.337
- M_tot (μB/f.u.) = 4.9
- raw total energy (Ry per atom) = -1.92998
- SG = P4/mmm (123)

a = 4.415 Å, b = 6.188 Å, c = 6.188 Å
α = 90.00°, β = 90.00°, γ = 90.00°
Atoms (fractional coordinates):
Te1 0.000 0.000 0.000
B1 0.500 0.000 0.000
Mn1 0.500 0.500 0.500
I1 0.000 0.500 0.000
I2 0.000 0.000 0.500

---

(8)
The following is a meta-GGA SCAN calculation of a PBEsol-optimized structure of Zn2CrSn, from Alexandria.

- DOS(E_F) (states/eV/atom) = 0.456
- M_tot (μB/f.u.) = 4.2
- SG = Fm-3m (225)
- ΔH_f (0 K) (eV per atom) = 0.22

a = 4.579 Å, b = 4.579 Å, c = 4.579 Å
α = 60.00°, β = 60.00°, γ = 60.00°
Atoms (fractional coordinates):
Zn1 0.250 0.250 0.250
Zn2 0.750 0.750 0.750
Sn1 0.500 0.500 0.500
Cr1 0.000 0.000 0.000

---

(9)
The following is a meta-GGA SCAN calculation of a PBEsol-optimized structure of Fe7Pt6, from Alexandria.

- DOS(E_F) (states/eV/atom) = 0.571
- M_tot (μB/f.u.) = 22.0
- SG = R-3m (166)
- ΔH_f (0 K) (eV per atom) = -0.25

a = 4.751 Å, b = 4.751 Å, c = 9.069 Å
α = 74.81°, β = 74.81°, γ = 60.00°
Atoms (fractional coordinates):
Pt1 0.667 0.667 0.000
Pt2 0.951 0.951 0.146
Pt3 0.049 0.049 0.854
Pt4 0.154 0.154 0.539
Pt5 0.333 0.333 0.000
Pt6 0.846 0.846 0.461
Fe1 0.500 0.500 0.500
Fe2 0.409 0.409 0.270
Fe3 0.591 0.088 0.730
Fe4 0.088 0.591 0.730
Fe5 0.912 0.409 0.270
Fe6 0.591 0.591 0.730
Fe7 0.409 0.912 0.270

---

(10)
The following is a meta-GGA SCAN calculation of a PBEsol-optimized structure of KSN2O, from Alexandria.

- DOS(E_F) (states/eV/atom) = 0.003
- M_tot (μB/f.u.) = 9.0
- raw total energy (Ry per atom) = -0.46630
- SG = P4/mmm (123)

a = 4.845 Å, b = 5.278 Å, c = 5.278 Å
α = 90.00°, β = 90.00°, γ = 90.00°
Atoms (fractional coordinates):
N1 0.000 0.000 0.500
N2 0.000 0.500 0.000
O1 0.500 0.000 0.000
K1 0.000 0.000 0.000
S1 0.500 0.500 0.500

---

(11)
The following is a meta-GGA SCAN calculation of a PBEsol-optimized structure of LiBeH5N2F4, from Alexandria.

- DOS(E_F) (states/eV/atom) = 0.000
- M_tot (μB/f.u.) = 0.0
- raw total energy (Ry per atom) = -0.44417
- SG = Pna2_1 (33)

a = 5.019 Å, b = 8.711 Å, c = 9.956 Å
α = 90.00°, β = 90.00°, γ = 90.00°
Atoms (fractional coordinates):
Li1 0.247 0.626 0.654
Li2 0.747 0.126 0.846
Li3 0.247 0.874 0.154
Li4 0.747 0.374 0.346
H1 0.742 0.618 0.120
H2 0.242 0.118 0.380
H3 0.282 0.323 0.163
H4 0.442 0.473 0.990
H5 0.242 0.382 0.880
H6 0.904 0.791 0.958
H7 0.404 0.291 0.542
H8 0.068 0.268 0.557
H9 0.568 0.732 0.443
H10 0.068 0.232 0.057
H11 0.742 0.882 0.620
H12 0.904 0.709 0.458
H13 0.404 0.209 0.042
H14 0.942 0.973 0.510
H15 0.782 0.677 0.837
H16 0.442 0.027 0.490
H17 0.782 0.823 0.337
H18 0.282 0.177 0.663
H19 0.568 0.768 0.943
H20 0.942 0.527 0.010
F1 0.941 0.541 0.292
F2 0.773 0.364 0.535
F3 0.389 0.411 0.307
F4 0.273 0.636 0.465
F5 0.889 0.589 0.693
F6 0.941 0.959 0.792
F7 0.441 0.459 0.708
F8 0.273 0.864 0.965
F9 0.389 0.089 0.807
F10 0.360 0.690 0.223
F11 0.773 0.136 0.035
F12 0.860 0.310 0.777
F13 0.360 0.810 0.723
F14 0.860 0.190 0.277
F15 0.441 0.041 0.208
F16 0.889 0.911 0.193
N1 0.754 0.713 0.937
N2 0.254 0.287 0.063
N3 0.255 0.080 0.478
N4 0.754 0.787 0.437
N5 0.254 0.213 0.563
N6 0.755 0.580 0.022
N7 0.255 0.420 0.978
N8 0.755 0.920 0.522
Be1 0.741 0.431 0.683
Be2 0.241 0.569 0.317
Be3 0.741 0.069 0.183
Be4 0.241 0.931 0.817

---

(12)
The following is a meta-GGA SCAN calculation of a PBEsol-optimized structure of AlNiPt2, from Alexandria.

- DOS(E_F) (states/eV/atom) = 0.560
- M_tot (μB/f.u.) = 1.0
- SG = Cm (8)
- ΔH_f (0 K) (eV per atom) = -0.69

a = 2.782 Å, b = 4.406 Å, c = 4.812 Å
α = 107.77°, β = 106.80°, γ = 90.00°
Atoms (fractional coordinates):
Pt1 0.013 0.052 0.027
Pt2 0.236 0.700 0.472
Ni1 0.764 0.216 0.527
Al1 0.487 0.532 0.974